[1]
# Mo4As3W2N3

A relaxed structure of Mo4As3W2N3 (PBE, OQMD via LeMat-Bulk).

POSCAR file:
```
Mo4As3W2N3
1.0
4.824 -2.744 0.000
4.824 2.744 0.000
-4.167 0.000 12.195
As Mo N W
6 8 6 4
Cartesian
5.522 0.640 2.937
3.783 -2.187 3.049
2.043 0.640 3.160
3.439 -0.640 9.034
1.699 2.187 9.146
-0.040 -0.640 9.258
0.728 -0.358 1.038
7.107 -0.447 1.152
0.458 -0.447 4.946
6.837 -0.358 5.060
-1.356 0.358 7.135
5.024 0.447 7.249
-1.626 0.447 11.043
4.754 0.358 11.157
2.412 -1.372 0.000
5.230 -1.110 0.350
2.336 -1.110 5.747
0.329 1.372 6.097
3.146 1.110 6.448
0.252 1.110 11.845
3.608 -0.125 1.293
3.957 -0.125 4.804
1.525 0.125 7.391
1.874 0.125 10.902
```

Space group: No. 15
Uncorrected energy, eV per cell: -216.2



[2]
# Y4Mo2As3N3

A relaxed structure of Y4Mo2As3N3 (PBE, OQMD via LeMat-Bulk).

POSCAR file:
```
Y4Mo2As3N3
1.0
-5.032 -1.796 2.952
-0.217 -5.561 2.507
6.244 6.935 8.868
As Mo N Y
6 4 6 8
Cartesian
-0.031 -1.140 4.135
-2.823 -0.569 5.109
-1.506 -3.212 5.702
2.501 2.789 8.624
3.817 0.147 9.217
1.026 0.717 10.191
-2.222 -2.512 3.245
-0.594 -0.840 6.711
1.589 0.417 7.615
3.217 2.089 11.081
-2.516 -0.898 1.476
-4.252 -3.354 3.296
-0.262 1.331 6.818
3.013 0.687 5.687
1.257 -1.754 7.509
5.247 2.931 11.031
-3.839 -4.749 5.234
-0.382 0.176 1.606
-2.570 -3.421 8.363
0.960 1.447 4.728
0.034 -1.870 9.598
3.564 2.998 5.963
1.377 -0.598 12.720
4.834 4.327 9.093
```

Space group: No. 15
Uncorrected energy, eV per cell: -196.4



[3]
# ZnMo4AsN2

A relaxed structure of ZnMo4AsN2 (PBE, OQMD via LeMat-Bulk).

POSCAR file:
```
ZnMo4AsN2
1.0
-1.950 1.903 -1.124
-0.033 -2.821 -0.854
-8.768 -2.975 10.175
As Mo N Zn
1 4 2 1
Cartesian
0.000 0.000 0.000
-1.955 -1.681 0.544
-2.980 -1.011 3.459
-5.788 -1.964 6.717
-8.158 -3.787 7.744
-3.461 -0.401 1.461
-7.930 -1.918 6.647
-5.056 -2.734 4.144
```

Space group: No. 187
Uncorrected energy, eV per cell: -66.2



[4]
# NaMo3As5

A relaxed structure of NaMo3As5 (PBE, OQMD via LeMat-Bulk).

POSCAR file:
```
NaMo3As5
1.0
5.370 0.000 0.000
-2.685 4.650 0.000
0.000 0.000 7.895
As Mo Na
5 3 1
Cartesian
2.685 1.550 1.791
0.000 3.100 1.791
0.000 0.000 3.947
2.685 1.550 6.104
0.000 3.100 6.104
2.685 0.000 3.947
-1.342 2.325 3.947
1.342 2.325 3.947
0.000 0.000 0.000
```

Space group: No. 191
Uncorrected energy, eV per cell: -57.3



[5]
# NaMoAs

A relaxed structure of NaMoAs (PBE, OQMD via LeMat-Bulk).

POSCAR file:
```
NaMoAs
1.0
0.000 3.079 3.079
3.079 0.000 3.079
3.079 3.079 0.000
As Mo Na
1 1 1
Cartesian
0.000 0.000 0.000
1.540 1.540 1.540
4.619 4.619 4.619
```

Space group: No. 216
Energy above the lowest structure with this stoichiometry, eV per atom: 0.000



[6]
# NaTeMoAs

A relaxed structure of NaTeMoAs (PBE, OQMD via LeMat-Bulk).

POSCAR file:
```
NaTeMoAs
1.0
4.163 -1.335 -1.984
2.634 -3.455 2.043
0.384 -4.294 -2.114
As Mo Na Te
1 1 1 1
Cartesian
0.000 0.000 0.000
1.795 -2.271 -0.514
5.386 -6.813 -1.541
3.591 -4.542 -1.027
```

Space group: No. 216
Energy above the lowest structure with this stoichiometry, eV per atom: 0.000



[7]
# NaTeMoAs

A relaxed structure of NaTeMoAs (PBE, OQMD via LeMat-Bulk).

POSCAR file:
```
NaTeMoAs
1.0
0.530 -2.925 3.845
-3.637 -0.513 3.183
-2.459 -4.186 0.226
As Mo Na Te
1 1 1 1
Cartesian
-2.783 -3.812 3.627
0.000 0.000 0.000
-4.175 -5.718 5.441
-1.392 -1.906 1.814
```

Space group: No. 216
Energy above the lowest structure with this stoichiometry, eV per atom: 0.545



[8]
# NaMoAsW

A relaxed structure of NaMoAsW (PBE, OQMD via LeMat-Bulk).

POSCAR file:
```
NaMoAsW
1.0
2.401 2.260 3.039
-0.884 4.324 0.791
-1.881 1.230 3.880
As Mo Na W
1 1 1 1
Cartesian
-0.182 3.907 3.855
0.000 0.000 0.000
-0.273 5.861 5.783
-0.091 1.954 1.928
```

Space group: No. 216
Energy above the lowest structure with this stoichiometry, eV per atom: 0.000